1.
Below is an optimized crystal structure of La5Mg4In, with properties calculated at the PBE level.

Lattice parameters (Å, degrees): 3.966 3.966 19.801 90.00 90.00 90.00
Element x y z (fractional)
La  0.000  0.000  0.000
La  0.000  0.000  0.201
La  0.000  0.000  0.402
La  0.000  0.000  0.598
La  0.000  0.000  0.799
Mg  0.500  0.500  0.100
Mg  0.500  0.500  0.299
Mg  0.500  0.500  0.701
Mg  0.500  0.500  0.900
In  0.500  0.500  0.500

Calculated values
Electronic total energy   -3.57 eV/atom
Spin magnetization   0.000 μB per atom
N(E_F)   13.2 states/eV/f.u.



2.
Below is an optimized crystal structure of La2Mg16In, with properties calculated at the PBE level.

Lattice parameters (Å, degrees): 7.838 7.838 7.838 82.48 82.48 82.48
Element x y z (fractional)
La  0.000  0.000  0.000
La  0.342  0.342  0.342
Mg  0.023  0.023  0.507
Mg  0.023  0.507  0.023
Mg  0.172  0.671  0.671
Mg  0.322  0.322  0.829
Mg  0.322  0.829  0.322
Mg  0.369  0.671  0.973
Mg  0.369  0.973  0.671
Mg  0.507  0.023  0.023
Mg  0.577  0.577  0.577
Mg  0.671  0.172  0.671
Mg  0.671  0.369  0.973
Mg  0.671  0.671  0.172
Mg  0.671  0.973  0.369
Mg  0.829  0.322  0.322
Mg  0.973  0.369  0.671
Mg  0.973  0.671  0.369
In  0.773  0.773  0.773

Calculated values
Electronic total energy   -2.11 eV/atom
Spin magnetization   0.000 μB per atom
N(E_F)   6.8 states/eV/f.u.



3.
Below is an optimized crystal structure of La2Mg2In, with properties calculated at the PBE level.

Lattice parameters (Å, degrees): 9.468 9.468 3.534 90.00 90.00 90.00
Element x y z (fractional)
La  0.179  0.321  0.000
La  0.321  0.821  0.000
La  0.679  0.179  0.000
La  0.821  0.679  0.000
Mg  0.115  0.615  0.500
Mg  0.385  0.115  0.500
Mg  0.615  0.885  0.500
Mg  0.885  0.385  0.500
In  0.000  0.000  0.000
In  0.500  0.500  0.000

Calculated values
Energy above the most stable polymorph in this dataset   0.293 eV/atom
Spin magnetization   0.000 μB per atom
N(E_F)   5.1 states/eV/f.u.



4.
Below is an optimized crystal structure of LaMgIn, with properties calculated at the PBE level.

Lattice parameters (Å, degrees): 5.165 5.165 5.165 60.00 60.00 60.00
Element x y z (fractional)
La  0.000  0.000  0.000
Mg  0.500  0.500  0.500
In  0.250  0.250  0.250

Calculated values
Electronic total energy   -3.33 eV/atom
Spin magnetization   0.000 μB per atom
N(E_F)   0.2 states/eV/f.u.